# 1
! MgRuW4 PBE-GGA relaxed; values from VASP
&SYSTEM
  ibrav = 0, nat = 6, ntyp = 3
/
ATOMIC_SPECIES
Mg 24.30 Mg.upf
Ru 101.07 Ru.upf
W 183.84 W.upf
CELL_PARAMETERS angstrom
0.0000 3.7204 3.7204
3.7204 0.0000 3.7204
3.7204 3.7204 0.0000
ATOMIC_POSITIONS angstrom
Mg 0.0000 0.0000 0.0000
Ru 5.5806 5.5806 5.5806
W 2.7827 2.7827 2.7827
W 4.6581 4.6581 2.7827
W 4.6581 2.7827 4.6581
W 2.7827 4.6581 4.6581
! * uncorrected energy: -0.367 hartree per atom
! * E_form: 45.5 kJ/mol of atoms
! * symmetry: No. 216
! * D(E_F): 6.87 states/eV/f.u.

# 2
! Mg2RuW PBE-GGA relaxed; values from VASP
&SYSTEM
  ibrav = 0, nat = 4, ntyp = 3
/
ATOMIC_SPECIES
Mg 24.30 Mg.upf
Ru 101.07 Ru.upf
W 183.84 W.upf
CELL_PARAMETERS angstrom
1.5639 -2.3300 0.0000
1.5639 2.3300 0.0000
0.0000 0.0000 9.4050
ATOMIC_POSITIONS angstrom
Mg 0.0000 0.0000 0.0000
Mg 1.5639 0.0000 2.6898
Ru 1.5639 0.0000 7.1835
W 0.0000 0.0000 5.1079
! * energy above the most stable polymorph in this dataset: 193 meV per atom
! * uncorrected energy: -0.225 hartree per atom
! * E_form: 21.6 kJ/mol of atoms
! * symmetry: No. 35
! * D(E_F): 3.55 states/eV/f.u.

# 3
! MgRuW2 PBE-GGA relaxed; values from VASP
&SYSTEM
  ibrav = 0, nat = 4, ntyp = 3
/
ATOMIC_SPECIES
Mg 24.30 Mg.upf
Ru 101.07 Ru.upf
W 183.84 W.upf
CELL_PARAMETERS angstrom
1.5336 -2.2623 0.0000
1.5336 2.2623 0.0000
0.0000 0.0000 9.3133
ATOMIC_POSITIONS angstrom
Mg 0.0000 0.0000 0.0000
Ru 0.0000 0.0000 4.6567
W 1.5336 0.0000 2.4589
W 1.5336 0.0000 6.8544
! * uncorrected energy: -0.325 hartree per atom
! * E_form: 34.2 kJ/mol of atoms
! * symmetry: No. 65
! * D(E_F): 4.45 states/eV/f.u.

# 4
! MgRu2W PBE-GGA relaxed; values from VASP
&SYSTEM
  ibrav = 0, nat = 4, ntyp = 3
/
ATOMIC_SPECIES
Mg 24.30 Mg.upf
Ru 101.07 Ru.upf
W 183.84 W.upf
CELL_PARAMETERS angstrom
-1.5624 2.1484 4.4896
1.5624 -2.1484 4.4896
1.5624 2.1484 -4.4896
ATOMIC_POSITIONS angstrom
Mg 0.0000 0.0000 0.0000
Ru 1.5624 0.0000 2.2460
Ru 0.0000 0.0000 4.5551
W 0.0000 2.1484 2.1331
! * uncorrected energy: -0.301 hartree per atom
! * E_form: 8.0 kJ/mol of atoms
! * symmetry: No. 44
! * D(E_F): 2.70 states/eV/f.u.

# 5
! MgRuW2 PBE-GGA relaxed; values from VASP
&SYSTEM
  ibrav = 0, nat = 4, ntyp = 3
/
ATOMIC_SPECIES
Mg 24.30 Mg.upf
Ru 101.07 Ru.upf
W 183.84 W.upf
CELL_PARAMETERS angstrom
2.6520 -4.5149 0.0000
2.6520 4.5149 0.0000
-0.8336 0.0000 2.6276
ATOMIC_POSITIONS angstrom
Mg 0.0000 0.0000 0.0000
Ru 2.6520 0.0000 0.0000
W 0.9092 2.2574 1.3138
W 0.9092 -2.2574 1.3138
! * uncorrected energy: -0.327 hartree per atom
! * E_form: 28.8 kJ/mol of atoms
! * symmetry: No. 12
! * D(E_F): 4.37 states/eV/f.u.

# 6
! MgRu3W PBE-GGA relaxed; values from VASP
&SYSTEM
  ibrav = 0, nat = 5, ntyp = 3
/
ATOMIC_SPECIES
Mg 24.30 Mg.upf
Ru 101.07 Ru.upf
W 183.84 W.upf
CELL_PARAMETERS angstrom
4.6920 0.0000 0.0000
0.0000 4.6920 0.0000
0.0000 0.0000 4.6920
ATOMIC_POSITIONS angstrom
Mg 0.0000 0.0000 0.0000
Ru 0.0000 2.3460 2.3460
Ru 2.3460 0.0000 2.3460
Ru 2.3460 2.3460 0.0000
W 2.3460 2.3460 2.3460
! * energy above the most stable polymorph in this dataset: 0 meV per atom
! * uncorrected energy: -0.266 hartree per atom
! * E_form: 120.0 kJ/mol of atoms
! * symmetry: No. 221
! * D(E_F): 5.37 states/eV/f.u.

# 7
! MgRuW2 PBE-GGA relaxed; values from VASP
&SYSTEM
  ibrav = 0, nat = 4, ntyp = 3
/
ATOMIC_SPECIES
Mg 24.30 Mg.upf
Ru 101.07 Ru.upf
W 183.84 W.upf
CELL_PARAMETERS angstrom
2.8147 0.0000 0.0000
0.0000 3.9878 0.0000
0.0000 0.0000 5.6407
ATOMIC_POSITIONS angstrom
Mg 0.0000 0.0000 0.0000
Ru 1.4073 1.9939 1.3317
W 0.0000 0.0000 2.7445
W 1.4073 1.9939 4.1721
! * uncorrected energy: -0.325 hartree per atom
! * E_form: 32.6 kJ/mol of atoms
! * symmetry: No. 25
! * D(E_F): 2.85 states/eV/f.u.

# 8
! MgRuW2 PBE-GGA relaxed; values from VASP
&SYSTEM
  ibrav = 0, nat = 8, ntyp = 3
/
ATOMIC_SPECIES
Mg 24.30 Mg.upf
Ru 101.07 Ru.upf
W 183.84 W.upf
CELL_PARAMETERS angstrom
-3.7166 3.7166 2.6150
3.7166 -3.7166 2.6150
3.7166 3.7166 -2.6150
ATOMIC_POSITIONS angstrom
Mg 0.0000 0.0000 0.0000
Mg 0.0000 3.7166 1.3075
Ru 3.7166 0.0000 1.3075
Ru 0.0000 0.0000 2.6150
W 1.8583 -1.5007 1.9612
W 2.2159 1.8583 0.6537
W 1.8583 5.2173 -0.6537
W 1.5007 1.8583 3.2687
! * uncorrected energy: -0.308 hartree per atom
! * E_form: 79.7 kJ/mol of atoms
! * symmetry: No. 122
! * D(E_F): 1.87 states/eV/f.u.

# 9
! MgRuW2 PBE-GGA relaxed; values from VASP
&SYSTEM
  ibrav = 0, nat = 4, ntyp = 3
/
ATOMIC_SPECIES
Mg 24.30 Mg.upf
Ru 101.07 Ru.upf
W 183.84 W.upf
CELL_PARAMETERS angstrom
3.1153 0.0000 0.0000
0.0000 4.3792 0.0000
0.0000 0.0000 4.5981
ATOMIC_POSITIONS angstrom
Mg 0.0000 0.0000 0.0000
Ru 1.5577 2.1896 0.0000
W 0.0000 2.1896 2.2990
W 1.5577 0.0000 2.2990
! * uncorrected energy: -0.328 hartree per atom
! * E_form: 25.9 kJ/mol of atoms
! * symmetry: No. 47
! * D(E_F): 4.22 states/eV/f.u.

# 10
! MgRu2W PBE-GGA relaxed; values from VASP
&SYSTEM
  ibrav = 0, nat = 4, ntyp = 3
/
ATOMIC_SPECIES
Mg 24.30 Mg.upf
Ru 101.07 Ru.upf
W 183.84 W.upf
CELL_PARAMETERS angstrom
4.2759 -1.3997 0.0000
4.2759 1.3997 0.0000
-0.5367 0.0000 5.1028
ATOMIC_POSITIONS angstrom
Mg 0.0000 0.0000 0.0000
Ru 1.7209 0.0000 3.8002
Ru 6.2943 0.0000 1.3026
W 4.0076 0.0000 2.5514
! * uncorrected energy: -0.297 hartree per atom
! * E_form: 17.9 kJ/mol of atoms
! * symmetry: No. 12
! * D(E_F): 3.27 states/eV/f.u.

# 11
! Mg2RuW PBE-GGA relaxed; values from VASP
&SYSTEM
  ibrav = 0, nat = 4, ntyp = 3
/
ATOMIC_SPECIES
Mg 24.30 Mg.upf
Ru 101.07 Ru.upf
W 183.84 W.upf
CELL_PARAMETERS angstrom
3.8063 0.0000 0.0000
0.0000 3.8063 0.0000
0.0000 0.0000 4.5089
ATOMIC_POSITIONS angstrom
Mg 0.0000 1.9032 0.0000
Mg 1.9032 0.0000 0.0000
Ru 0.0000 0.0000 2.2545
W 1.9032 1.9032 2.2545
! * energy above the most stable polymorph in this dataset: 301 meV per atom
! * uncorrected energy: -0.221 hartree per atom
! * E_form: 32.0 kJ/mol of atoms
! * symmetry: No. 123
! * D(E_F): 3.61 states/eV/f.u.

# 12
! Mg2RuW PBE-GGA relaxed; values from VASP
&SYSTEM
  ibrav = 0, nat = 4, ntyp = 3
/
ATOMIC_SPECIES
Mg 24.30 Mg.upf
Ru 101.07 Ru.upf
W 183.84 W.upf
CELL_PARAMETERS angstrom
4.4637 -1.4312 0.0000
4.4637 1.4312 0.0000
-0.5516 0.0000 5.2244
ATOMIC_POSITIONS angstrom
Mg 0.0000 0.0000 0.0000
Mg 1.7444 0.0000 3.9449
Ru 4.2020 0.0000 2.4648
W 6.5480 0.0000 1.4767
! * energy above the most stable polymorph in this dataset: 226 meV per atom
! * uncorrected energy: -0.224 hartree per atom
! * E_form: 24.7 kJ/mol of atoms
! * symmetry: No. 8
! * D(E_F): 3.16 states/eV/f.u.

# 13
! MgRuW2 PBE-GGA relaxed; values from VASP
&SYSTEM
  ibrav = 0, nat = 4, ntyp = 3
/
ATOMIC_SPECIES
Mg 24.30 Mg.upf
Ru 101.07 Ru.upf
W 183.84 W.upf
CELL_PARAMETERS angstrom
1.5855 -2.2585 0.0000
1.5855 2.2585 0.0000
0.0000 0.0000 8.9855
ATOMIC_POSITIONS angstrom
Mg 0.0000 0.0000 0.0000
Ru 1.5855 0.0000 2.2306
W 0.0000 0.0000 4.3361
W 1.5855 0.0000 6.5588
! * uncorrected energy: -0.331 hartree per atom
! * E_form: 19.2 kJ/mol of atoms
! * symmetry: No. 35
! * D(E_F): 3.72 states/eV/f.u.

# 14
! Mg2Ru2W PBE-GGA relaxed; values from VASP
&SYSTEM
  ibrav = 0, nat = 10, ntyp = 3
/
ATOMIC_SPECIES
Mg 24.30 Mg.upf
Ru 101.07 Ru.upf
W 183.84 W.upf
CELL_PARAMETERS angstrom
6.3746 0.0000 0.0000
0.0000 6.3746 0.0000
0.0000 0.0000 4.3603
ATOMIC_POSITIONS angstrom
Mg 1.0996 2.0877 0.0000
Mg 2.0877 5.2750 0.0000
Mg 4.2869 1.0996 0.0000
Mg 5.2750 4.2869 0.0000
Ru 0.8665 4.0538 2.1801
Ru 2.3208 0.8665 2.1801
Ru 4.0538 5.5081 2.1801
Ru 5.5081 2.3208 2.1801
W 0.0000 0.0000 2.1801
W 3.1873 3.1873 2.1801
! * uncorrected energy: -0.247 hartree per atom
! * E_form: 21.9 kJ/mol of atoms
! * symmetry: No. 127
! * D(E_F): 4.07 states/eV/f.u.

# 15
! Mg2RuW PBE-GGA relaxed; values from VASP
&SYSTEM
  ibrav = 0, nat = 4, ntyp = 3
/
ATOMIC_SPECIES
Mg 24.30 Mg.upf
Ru 101.07 Ru.upf
W 183.84 W.upf
CELL_PARAMETERS angstrom
1.4299 0.8256 9.3041
-1.4299 0.8256 9.3041
0.0000 -1.6512 9.3041
ATOMIC_POSITIONS angstrom
Mg 0.0000 0.0000 6.8509
Mg 0.0000 0.0000 21.0613
Ru 0.0000 0.0000 13.9561
W 0.0000 0.0000 0.0000
! * energy above the most stable polymorph in this dataset: 327 meV per atom
! * uncorrected energy: -0.220 hartree per atom
! * E_form: 34.4 kJ/mol of atoms
! * symmetry: No. 166
! * D(E_F): 4.75 states/eV/f.u.

# 16
! MgRuW2 PBE-GGA relaxed; values from VASP
&SYSTEM
  ibrav = 0, nat = 4, ntyp = 3
/
ATOMIC_SPECIES
Mg 24.30 Mg.upf
Ru 101.07 Ru.upf
W 183.84 W.upf
CELL_PARAMETERS angstrom
3.3758 0.0000 0.0000
0.0000 3.3758 0.0000
0.0000 0.0000 5.7896
ATOMIC_POSITIONS angstrom
Mg 0.0000 0.0000 0.0000
Ru 0.0000 0.0000 2.8948
W 1.6879 1.6879 1.6411
W 1.6879 1.6879 4.1484
! * uncorrected energy: -0.318 hartree per atom
! * E_form: 52.4 kJ/mol of atoms
! * symmetry: No. 123
! * D(E_F): 2.98 states/eV/f.u.

# 17
! Mg2RuW PBE-GGA relaxed; values from VASP
&SYSTEM
  ibrav = 0, nat = 4, ntyp = 3
/
ATOMIC_SPECIES
Mg 24.30 Mg.upf
Ru 101.07 Ru.upf
W 183.84 W.upf
CELL_PARAMETERS angstrom
5.1813 -1.5508 0.0000
5.1813 1.5508 0.0000
-1.9182 0.0000 4.0498
ATOMIC_POSITIONS angstrom
Mg 1.9905 0.0000 0.9542
Mg 6.4540 0.0000 3.0956
Ru 5.1813 0.0000 0.0000
W -0.9591 0.0000 2.0249
! * energy above the most stable polymorph in this dataset: 226 meV per atom
! * uncorrected energy: -0.224 hartree per atom
! * E_form: 24.8 kJ/mol of atoms
! * symmetry: No. 12
! * D(E_F): 2.51 states/eV/f.u.

# 18
! Mg2RuW PBE-GGA relaxed; values from VASP
&SYSTEM
  ibrav = 0, nat = 4, ntyp = 3
/
ATOMIC_SPECIES
Mg 24.30 Mg.upf
Ru 101.07 Ru.upf
W 183.84 W.upf
CELL_PARAMETERS angstrom
3.1579 0.0000 0.0000
0.0000 4.4067 0.0000
0.0000 0.0000 4.6634
ATOMIC_POSITIONS angstrom
Mg 0.0000 0.0000 0.0000
Mg 1.5789 2.2034 0.0000
Ru 0.0000 2.2034 2.3317
W 1.5789 0.0000 2.3317
! * energy above the most stable polymorph in this dataset: 242 meV per atom
! * uncorrected energy: -0.224 hartree per atom
! * E_form: 26.3 kJ/mol of atoms
! * symmetry: No. 47
! * D(E_F): 2.43 states/eV/f.u.

# 19
! MgRu2W PBE-GGA relaxed; values from VASP
&SYSTEM
  ibrav = 0, nat = 4, ntyp = 3
/
ATOMIC_SPECIES
Mg 24.30 Mg.upf
Ru 101.07 Ru.upf
W 183.84 W.upf
CELL_PARAMETERS angstrom
3.3467 0.0000 0.0000
0.0000 3.3467 0.0000
0.0000 0.0000 5.5232
ATOMIC_POSITIONS angstrom
Mg 0.0000 0.0000 0.0000
Ru 0.0000 0.0000 2.7886
Ru 1.6733 1.6733 1.0078
W 1.6733 1.6733 3.9235
! * uncorrected energy: -0.291 hartree per atom
! * E_form: 34.6 kJ/mol of atoms
! * symmetry: No. 99
! * D(E_F): 3.86 states/eV/f.u.

# 20
! MgRuW2 PBE-GGA relaxed; values from VASP
&SYSTEM
  ibrav = 0, nat = 4, ntyp = 3
/
ATOMIC_SPECIES
Mg 24.30 Mg.upf
Ru 101.07 Ru.upf
W 183.84 W.upf
CELL_PARAMETERS angstrom
-1.8835 1.8835 4.4296
1.8835 -1.8835 4.4296
1.8835 1.8835 -4.4296
ATOMIC_POSITIONS angstrom
Mg 0.0000 0.0000 0.0000
Ru 0.0000 0.0000 4.4296
W 1.8835 0.0000 2.2148
W 0.0000 1.8835 2.2148
! * uncorrected energy: -0.326 hartree per atom
! * E_form: 31.2 kJ/mol of atoms
! * symmetry: No. 139
! * D(E_F): 3.57 states/eV/f.u.